#i
Compound: RbCd2Pd2
Source: Alexandria via LeMat-Bulk
Functional: PBE-GGA
Structure: relaxed

crystal system = tetragonal
space group = P4/mbm
D(E_F) = 2.920 states/eV per cell

a b c (Å): 8.4571 8.4571 3.0582
angles (deg): 90.00 90.00 90.00
Sites, in units of the cell vectors:
Rb  0.0000  0.0000  0.0000
Rb  0.5000  0.5000  0.0000
Pd  0.3481  0.8481  0.0000
Pd  0.8481  0.6519  0.0000
Pd  0.6519  0.1519  0.0000
Pd  0.1519  0.3481  0.0000
Cd  0.1392  0.6392  0.5000
Cd  0.6392  0.8608  0.5000
Cd  0.8608  0.3608  0.5000
Cd  0.3608  0.1392  0.5000

#ii
Compound: RbCd2Pd2
Source: Alexandria via LeMat-Bulk
Functional: PBE-GGA
Structure: relaxed

crystal system = tetragonal
space group = I4/mmm
D(E_F) = 2.050 states/eV per cell

a b c (Å): 4.6653 4.6653 6.6513
angles (deg): 69.47 69.47 90.00
Sites, in units of the cell vectors:
Rb  0.0000  0.0000  0.0000
Pd  0.3822  0.3822  0.2355
Pd  0.6178  0.6178  0.7645
Cd  0.7500  0.2500  0.5000
Cd  0.2500  0.7500  0.5000

Verdict on stability: #ii comes out at the bottom.